The following is a GGA-PBEsol calculation of a geometry-optimized Mg5Te structure, from Alexandria via LeMat-Bulk.

Its volume is 23.2 A^3/atom. As for the relative energy among the computed polymorphs: 0.0 meV/atom. The value obtained for the uncorrected formation energy is -11.8 kJ/mol of atoms. The calculation puts the magnetic moment at 0.00 μB per cell.

Cell: 4.1955 4.7106 7.3602 Å, 90.00 106.56 90.00°
Fractional coordinates of all 6 atoms:
Mg  0.9670  0.0000  0.9340
Mg  0.3110  0.0000  0.6221
Mg  0.6391  0.0000  0.2781
Mg  0.4696  0.5000  0.9392
Mg  0.8080  0.5000  0.6160
Te  0.1386  0.5000  0.2773